[1]
The following is a DFT calculation (PBE-GGA) of Cs2Pr4Se3O2 after structural relaxation.

a = 13.942 Å, b = 13.942 Å, c = 13.942 Å
α = 159.95°, β = 159.95°, γ = 28.51°
Positions (direct):
Cs (0.197, 0.197, 0.000)
Cs (0.803, 0.803, 0.000)
Pr (0.071, 0.571, 0.500)
Pr (0.429, 0.929, 0.500)
Pr (0.571, 0.071, 0.500)
Pr (0.929, 0.429, 0.500)
Se (0.353, 0.353, 0.000)
Se (0.500, 0.500, 0.000)
Se (0.647, 0.647, 0.000)
O (0.088, 0.088, 0.000)
O (0.912, 0.912, 0.000)

Values from the calculation:
The calculation puts the energy at -5.559 eV/atom. The formation energy without anion corrections comes out at -20.0 eV/f.u.

[2]
The following is a DFT calculation (PBE-GGA) of Sr3BeCu after structural relaxation.

a = 5.822 Å, b = 5.822 Å, c = 5.822 Å
α = 90.00°, β = 90.00°, γ = 90.00°
Positions (direct):
Sr (0.000, 0.000, 0.500)
Sr (0.000, 0.500, 0.000)
Sr (0.500, 0.000, 0.000)
Be (0.500, 0.500, 0.500)
Cu (0.000, 0.000, 0.000)

Values from the calculation:
For the energy above the lowest structure with this stoichiometry, the calculation gives 0 meV/atom. The calculation puts the energy of formation from the pure elements at 48 kJ per mole of atoms. The calculation puts the energy at -2.074 eV/atom.

[3]
The following is a DFT calculation (PBE-GGA) of Ce3P4Pd2Rh2 after structural relaxation.

a = 4.106 Å, b = 4.106 Å, c = 14.206 Å
α = 90.00°, β = 90.00°, γ = 120.00°
Positions (direct):
Ce (0.000, 0.000, 0.000)
Ce (0.000, 0.000, 0.273)
Ce (0.000, 0.000, 0.727)
P (0.333, 0.667, 0.390)
P (0.333, 0.667, 0.870)
P (0.667, 0.333, 0.130)
P (0.667, 0.333, 0.610)
Pd (0.333, 0.667, 0.560)
Pd (0.667, 0.333, 0.440)
Rh (0.333, 0.667, 0.146)
Rh (0.667, 0.333, 0.854)

Values from the calculation:
The calculation puts the energy of formation from the pure elements at -108 kJ per mole of atoms. The calculation puts the energy at -6.986 eV/atom.

[4]
The following is a DFT calculation (PBE-GGA) of CaNbGeTeP after structural relaxation.

a = 4.999 Å, b = 4.999 Å, c = 8.103 Å
α = 112.72°, β = 112.72°, γ = 41.78°
Positions (direct):
Ca (0.000, 0.000, 0.000)
Nb (0.045, 0.045, 0.524)
Ge (0.791, 0.791, 0.224)
Te (0.375, 0.375, 0.644)
P (0.520, 0.520, 0.290)

Values from the calculation:
For the energy above the lowest structure with this stoichiometry, the calculation gives 234 meV/atom. The calculation puts the energy at -5.420 eV/atom. The formation energy without anion corrections comes out at -1.9 eV/f.u.

[5]
The following is a DFT calculation (PBE-GGA) of Dy3Ho4 after structural relaxation.

a = 12.712 Å, b = 12.712 Å, c = 12.712 Å
α = 164.10°, β = 157.39°, γ = 27.76°
Positions (direct):
Dy (0.000, 0.000, 0.000)
Dy (0.143, 0.143, 0.000)
Dy (0.857, 0.857, 0.000)
Ho (0.286, 0.286, 0.000)
Ho (0.429, 0.429, 0.000)
Ho (0.571, 0.571, 0.000)
Ho (0.714, 0.714, 0.000)

Values from the calculation:
For the energy above the lowest structure with this stoichiometry, the calculation gives 0 meV/atom. The calculation puts the energy of formation from the pure elements at 2 kJ per mole of atoms. The calculation puts the energy at -4.569 eV/atom.

[6]
The following is a DFT calculation (PBE-GGA) of CuRhBr after structural relaxation.

a = 5.017 Å, b = 5.017 Å, c = 5.017 Å
α = 140.06°, β = 140.06°, γ = 57.77°
Positions (direct):
Cu (0.000, 0.000, 0.000)
Rh (0.409, 0.409, 0.000)
Br (0.696, 0.696, 0.000)

Values from the calculation:
For the energy above the lowest structure with this stoichiometry, the calculation gives 87 meV/atom. The calculation puts the energy at -3.873 eV/atom. The formation energy without anion corrections comes out at 1.5 eV/f.u.

[7]
The following is a DFT calculation (PBE-GGA) of Na2NiHRh after structural relaxation.

a = 5.399 Å, b = 5.399 Å, c = 3.197 Å
α = 90.00°, β = 90.00°, γ = 90.00°
Positions (direct):
Na (0.000, 0.500, 0.000)
Na (0.500, 0.000, 0.000)
Ni (0.000, 0.000, 0.500)
H (0.500, 0.500, 0.500)
Rh (0.500, 0.500, 0.000)

Values from the calculation:
The calculation puts the energy at -3.144 eV/atom.

[8]
The following is a DFT calculation (PBE-GGA) of SbPd4I5 after structural relaxation.

a = 9.147 Å, b = 9.147 Å, c = 8.279 Å
α = 104.24°, β = 104.24°, γ = 25.54°
Positions (direct):
Sb (0.000, 0.000, 0.000)
Pd (0.164, 0.164, 0.094)
Pd (0.498, 0.498, 0.764)
Pd (0.502, 0.502, 0.236)
Pd (0.836, 0.836, 0.906)
I (0.000, 0.000, 0.500)
I (0.342, 0.342, 0.682)
I (0.345, 0.345, 0.141)
I (0.655, 0.655, 0.859)
I (0.658, 0.658, 0.318)

Values from the calculation:
The calculation puts the energy at -3.432 eV/atom. The formation energy without anion corrections comes out at -1.7 eV/f.u.

[9]
The following is a DFT calculation (PBE-GGA) of Sr3Ac3AgTe8 after structural relaxation.

a = 9.464 Å, b = 9.464 Å, c = 9.464 Å
α = 59.71°, β = 59.71°, γ = 59.71°
Positions (direct):
Sr (0.000, 0.500, 0.500)
Sr (0.500, 0.000, 0.500)
Sr (0.500, 0.500, 0.000)
Ac (0.000, 0.000, 0.500)
Ac (0.000, 0.500, 0.000)
Ac (0.500, 0.000, 0.000)
Ag (0.500, 0.500, 0.500)
Te (0.251, 0.251, 0.251)
Te (0.255, 0.741, 0.741)
Te (0.259, 0.259, 0.745)
Te (0.259, 0.745, 0.259)
Te (0.741, 0.255, 0.741)
Te (0.741, 0.741, 0.255)
Te (0.745, 0.259, 0.259)
Te (0.749, 0.749, 0.749)

Values from the calculation:
The calculation puts the energy at -4.412 eV/atom. The formation energy without anion corrections comes out at -20.8 eV/f.u.

[10]
The following is a DFT calculation (PBE-GGA) of Pa2Si4Os3Ru after structural relaxation.

a = 4.176 Å, b = 4.176 Å, c = 9.666 Å
α = 90.00°, β = 90.00°, γ = 90.00°
Positions (direct):
Pa (0.000, 0.500, 0.248)
Pa (0.500, 0.000, 0.752)
Si (0.000, 0.000, 0.500)
Si (0.000, 0.500, 0.876)
Si (0.500, 0.000, 0.124)
Si (0.500, 0.500, 0.500)
Os (0.000, 0.000, 0.000)
Os (0.000, 0.500, 0.631)
Os (0.500, 0.000, 0.369)
Ru (0.500, 0.500, 0.000)

Values from the calculation:
The calculation puts the energy at -9.019 eV/atom. The formation energy without anion corrections comes out at -6.5 eV/f.u.

[11]
The following is a DFT calculation (PBE-GGA) of Ni15Ge4Mo after structural relaxation.

a = 3.592 Å, b = 3.592 Å, c = 17.924 Å
α = 90.00°, β = 90.00°, γ = 90.00°
Positions (direct):
Ni (0.000, 0.000, 0.000)
Ni (0.000, 0.000, 0.200)
Ni (0.000, 0.000, 0.400)
Ni (0.000, 0.000, 0.600)
Ni (0.000, 0.000, 0.800)
Ni (0.000, 0.500, 0.100)
Ni (0.000, 0.500, 0.301)
Ni (0.000, 0.500, 0.500)
Ni (0.000, 0.500, 0.699)
Ni (0.000, 0.500, 0.900)
Ni (0.500, 0.000, 0.100)
Ni (0.500, 0.000, 0.301)
Ni (0.500, 0.000, 0.500)
Ni (0.500, 0.000, 0.699)
Ni (0.500, 0.000, 0.900)
Ge (0.500, 0.500, 0.205)
Ge (0.500, 0.500, 0.401)
Ge (0.500, 0.500, 0.599)
Ge (0.500, 0.500, 0.795)
Mo (0.500, 0.500, 0.000)

Values from the calculation:
The calculation puts the energy of formation from the pure elements at -22 kJ per mole of atoms. The calculation puts the energy at -6.031 eV/atom.

[12]
The following is a DFT calculation (PBE-GGA) of LiCu2Pb after structural relaxation.

a = 3.027 Å, b = 4.182 Å, c = 5.472 Å
α = 90.00°, β = 103.15°, γ = 90.00°
Positions (direct):
Li (0.000, 0.000, 0.000)
Cu (0.221, 0.500, 0.794)
Cu (0.779, 0.500, 0.206)
Pb (0.500, 0.000, 0.500)

Values from the calculation:
The calculation puts the energy of formation from the pure elements at 13 kJ per mole of atoms. The calculation puts the energy at -3.321 eV/atom.

Number 1: mass density 5.7 g/cm³, magnetization 0.00 μB/f.u.. Number 2: mass density 2.8 g/cm³, magnetization 0.00 μB/f.u.. Number 3: mass density 7.7 g/cm³, magnetization 0.00 μB/f.u.. Number 4: mass density 4.9 g/cm³, magnetization 0.00 μB/f.u.. Number 5: mass density 8.8 g/cm³, magnetization 0.00 μB/f.u.. Number 6: mass density 7.9 g/cm³, magnetization 0.00 μB/f.u.. Number 7: mass density 3.7 g/cm³, magnetization 0.95 μB/f.u.. Number 8: mass density 6.8 g/cm³, magnetization 0.00 μB/f.u.. Number 9: mass density 5.8 g/cm³, magnetization 0.00 μB/f.u.. Number 10: mass density 12.3 g/cm³, magnetization 0.00 μB/f.u.. Number 11: mass density 9.1 g/cm³, magnetization 0.00 μB/f.u.. Number 12: mass density 8.4 g/cm³, magnetization 0.00 μB/f.u..